Density functional theory data (PBE) for a relaxed structure of Ta2CdTe.

Geometry as POSCAR:
```
Ta2CdTe
1.0
0.0000 3.4444 3.4444
3.4444 0.0000 3.4444
3.4444 3.4444 0.0000
Te Cd Ta
1 1 2
Direct
0.7500 0.7500 0.7500
0.5000 0.5000 0.5000
0.2500 0.2500 0.2500
0.0000 0.0000 0.0000
```

Results
* DFT total energy: -6.26 eV per atom